Record 1
A plane-wave DFT calculation with PBE was carried out for a relaxed structure of Tb2NdZn2.

The structure in extended XYZ format:
```
10
Lattice="2.644 -7.718 0.000 2.644 7.718 0.000 0.000 0.000 6.279" Properties=species:S:1:pos:R:3 pbc="T T T"
Tb 2.644 7.082 3.140
Tb 2.644 4.595 0.717
Tb 2.644 -4.595 3.856
Tb 2.644 -7.082 0.000
Nd 2.644 1.306 2.220
Nd 2.644 -1.306 5.360
Zn 2.644 4.329 3.912
Zn 2.644 1.955 5.316
Zn 2.644 -1.955 2.177
Zn 2.644 -4.329 0.773
```

Computed properties:
Calculated total energy ... -3.508 eV per atom
Symmetry ... Cmc2_1, No. 36
Size of the total moment ... 0.000 μB per atom
DOS at the Fermi energy ... 4.82 states/eV/f.u.
Formation enthalpy at 0 K ... -193 meV per atom
Offset from the most stable computed form ... 0.299 eV per formula unit

Record 2
A plane-wave DFT calculation with PBE was carried out for a relaxed structure of NaTe3I.

The structure in extended XYZ format:
```
5
Lattice="5.921 0.000 0.000 0.000 5.921 0.000 0.000 0.000 5.921" Properties=species:S:1:pos:R:3 pbc="T T T"
Na 0.000 0.000 0.000
Te 0.000 2.961 2.961
Te 2.961 0.000 2.961
Te 2.961 2.961 0.000
I 2.961 2.961 2.961
```

Computed properties:
Calculated total energy ... -2.135 eV per atom
Symmetry ... Pm-3m, No. 221
Size of the total moment ... 0.000 μB per atom
DOS at the Fermi energy ... 4.91 states/eV/f.u.
Formation energy from raw total energies ... 324 meV/atom
Offset from the most stable computed form ... 0.000 eV per formula unit

Record 3
A plane-wave DFT calculation with PBE was carried out for a relaxed structure of SiPSO2.

The structure in extended XYZ format:
```
5
Lattice="3.341 0.000 0.000 0.000 3.341 0.000 0.000 0.000 5.985" Properties=species:S:1:pos:R:3 pbc="T T T"
Si 0.000 0.000 0.000
P 0.000 0.000 2.992
S 1.670 1.670 2.992
O 0.000 1.670 0.000
O 1.670 0.000 0.000
```

Computed properties:
Calculated total energy ... -5.856 eV per atom
Symmetry ... P4/mmm, No. 123
Size of the total moment ... 0.027 μB per atom
DOS at the Fermi energy ... 3.36 states/eV/f.u.
Formation energy from raw total energies ... -881 meV/atom